First-principles (GGA-PBEsol) data for a relaxed SrPt2Rh crystal, as listed in Alexandria via LeMat-Bulk.

Calculated values
V   288 Å³ per cell
Fermi-level density of states   7.212 states/eV/f.u.
Raw total energy   -5.853 eV per atom
Formation enthalpy at 0 K   0.12 eV per atom
Magnetization   0.7 μB per formula unit

Geometry as CIF:
```
data_SrPt2Rh
_chemical_formula_sum 'Sr4 Pt8 Rh4'
_space_group_name_H-M_alt 'F m -3 m'
_space_group_IT_number 225
_space_group_name_Hall '-F 4 2 3'
_cell_length_a 6.6009
_cell_length_b 6.6009
_cell_length_c 6.6009
_cell_angle_alpha 90.00
_cell_angle_beta 90.00
_cell_angle_gamma 90.00
loop_
_atom_site_label
_atom_site_fract_x
_atom_site_fract_y
_atom_site_fract_z
_atom_site_occupancy
Sr1 0.0000 0.0000 0.0000 1
Pt1 0.2500 0.2500 0.2500 1
Rh1 0.0000 0.0000 0.5000 1
```